The following is a PBE calculation of a relaxed structure of B5C7, from the Alexandria database.

* energy relative to the lowest polymorph listed for this composition: 184 meV/atom
* space-group type: P1 (1)
* density of states at the Fermi level: 1.73 states/eV/f.u.
* ΔE_f: 442 meV/atom

Lattice parameters (Å, degrees): 4.5577 4.5601 4.7456 102.94 102.46 118.29
Fractional positions:
B  0.1662  0.8314  0.5342
B  0.6271  0.3182  0.9788
B  0.0584  0.7461  0.1240
B  0.7470  0.0686  0.1523
B  0.3218  0.6245  0.9780
C  0.5556  0.2246  0.6059
C  0.2184  0.5330  0.6157
C  0.0008  0.0094  0.9876
C  0.8636  0.8757  0.6304
C  0.3648  0.3652  0.1366
C  0.4987  0.4976  0.4940
C  0.8276  0.1558  0.5124